[1]
VASP calculation (PBE) on a relaxed structure of Rb4Mg5.

Unit cell a=10.2760 b=10.2760 c=10.2760 alpha=92.90 beta=92.90 gamma=154.01
Last column: nearest neighbours and their distance in Å.
Fractional positions:
Rb 0.0000 0.2895 0.2895  7 Mg 3.86-4.28
Rb 0.0000 0.7105 0.7105  7 Mg 3.86-4.28
Rb 0.2895 0.0000 0.2895  7 Mg 3.86-4.28
Rb 0.7105 0.0000 0.7105  7 Mg 3.86-4.28
Mg 0.0000 0.0000 0.0000  4 Rb 4.10, 8 Mg 4.59
Mg 0.3019 0.3019 0.6039  2 Mg 3.11
Mg 0.3019 0.6981 0.0000  2 Mg 3.11
Mg 0.6981 0.3019 0.0000  2 Mg 3.11
Mg 0.6981 0.6981 0.3961  2 Mg 3.11

E_form (eV/atom): 0.346

***

[2]
VASP calculation (PBE) on a relaxed structure of Rb4Mg.

Unit cell a=7.5095 b=7.5095 c=7.5095 alpha=90.00 beta=90.00 gamma=90.00
Last column: nearest neighbours and their distance in Å.
Fractional positions:
Mg 0.5000 0.5000 0.5000  6 Rb 3.75
Rb 0.0000 0.0000 0.0000  12 Rb 5.31
Rb 0.5000 0.0000 0.5000  2 Mg 3.75
Rb 0.0000 0.5000 0.5000  2 Mg 3.75
Rb 0.5000 0.5000 0.0000  2 Mg 3.75

E_form (eV/atom): 0.178

***

[3]
VASP calculation (PBE) on a relaxed structure of RbMg2.

Unit cell a=9.6722 b=9.6722 c=9.6722 alpha=159.49 beta=135.16 gamma=49.78
Last column: nearest neighbours and their distance in Å.
Fractional positions:
Rb 0.8154 0.3154 0.5000  2 Rb 3.44
Rb 0.1846 0.6846 0.5000  2 Rb 3.44
Mg 0.5952 0.5952 0.0000  7 Mg 3.19-3.44
Mg 0.2147 0.0000 0.2147  7 Mg 3.17-3.44
Mg 0.7853 0.0000 0.7853  7 Mg 3.17-3.44
Mg 0.4048 0.4048 0.0000  7 Mg 3.19-3.44

E_form (eV/atom): 0.185

***

Repeat the first record exactly.
VASP calculation (PBE) on a relaxed structure of Rb4Mg5.

Unit cell a=10.2760 b=10.2760 c=10.2760 alpha=92.90 beta=92.90 gamma=154.01
Last column: nearest neighbours and their distance in Å.
Fractional positions:
Rb 0.0000 0.2895 0.2895  7 Mg 3.86-4.28
Rb 0.0000 0.7105 0.7105  7 Mg 3.86-4.28
Rb 0.2895 0.0000 0.2895  7 Mg 3.86-4.28
Rb 0.7105 0.0000 0.7105  7 Mg 3.86-4.28
Mg 0.0000 0.0000 0.0000  4 Rb 4.10, 8 Mg 4.59
Mg 0.3019 0.3019 0.6039  2 Mg 3.11
Mg 0.3019 0.6981 0.0000  2 Mg 3.11
Mg 0.6981 0.3019 0.0000  2 Mg 3.11
Mg 0.6981 0.6981 0.3961  2 Mg 3.11

E_form (eV/atom): 0.346